The following is a PBE calculation of Sr2Ca3Ag4 after structural relaxation, from the Alexandria database.

Structure (POSCAR):
```
Sr2Ca3Ag4
1.0
8.3860 0.0000 0.0000
0.0000 8.3854 0.0000
-2.6615 0.0000 7.7640
Sr Ca Ag
4 6 8
Direct
0.1933 0.1745 0.0697
0.1933 0.3255 0.5697
0.8067 0.6745 0.4303
0.8067 0.8255 0.9303
0.2470 0.6711 0.2487
0.2470 0.8289 0.7487
0.5000 0.0000 0.5000
0.5000 0.5000 0.0000
0.7530 0.1711 0.2513
0.7530 0.3289 0.7513
0.0805 0.5375 0.8684
0.0805 0.9625 0.3684
0.4977 0.1236 0.8750
0.4977 0.3764 0.3750
0.5023 0.6236 0.6250
0.5023 0.8764 0.1250
0.9195 0.0375 0.6316
0.9195 0.4625 0.1316
```

Computed properties:
V   546.0 Å³/cell
E_form   -2.80 eV/f.u.
Density of states at the Fermi level   11.31 states/eV/cell
E   -2.620 eV/atom

***

The following is a PBE calculation of Sr2Ca2Ag after structural relaxation, from the Alexandria database.

Structure (POSCAR):
```
Sr2Ca2Ag
1.0
-2.7406 2.7406 13.8175
2.7406 -2.7406 13.8175
2.7406 2.7406 -13.8175
Sr Ca Ag
4 4 2
Direct
0.0579 0.3079 0.7500
0.3079 0.0579 0.2500
0.6921 0.9421 0.7500
0.9421 0.6921 0.2500
0.1957 0.4457 0.7500
0.4457 0.1957 0.2500
0.5543 0.8043 0.7500
0.8043 0.5543 0.2500
0.3750 0.6250 0.7500
0.6250 0.3750 0.2500
```

Computed properties:
V   415.1 Å³/cell
E_form   -0.28 eV/f.u.
Density of states at the Fermi level   8.54 states/eV/cell
E   -2.100 eV/atom

***

The following is a PBE calculation of SrCa2Ag after structural relaxation, from the Alexandria database.

Structure (POSCAR):
```
SrCa2Ag
1.0
4.9476 0.0000 0.0000
0.0000 5.0547 0.0000
0.0000 0.0000 5.6014
Sr Ca Ag
1 2 1
Direct
0.0000 0.0000 0.0000
0.0000 0.5000 0.5000
0.5000 0.0000 0.5000
0.5000 0.5000 0.0000
```

Computed properties:
V   140.1 Å³/cell
E_form   -0.08 eV/f.u.
Density of states at the Fermi level   3.66 states/eV/cell
E   -2.154 eV/atom

***

The following is a PBE calculation of SrCa2Ag after structural relaxation, from the Alexandria database.

Structure (POSCAR):
```
SrCa2Ag
1.0
4.5612 0.0000 0.0000
0.0000 9.8997 0.0000
-2.2635 0.0000 6.4942
Sr Ca Ag
2 4 2
Direct
0.0632 0.2500 0.1268
0.9368 0.7500 0.8732
0.3516 0.0598 0.7036
0.3516 0.4402 0.7036
0.6484 0.5598 0.2964
0.6484 0.9402 0.2964
0.2404 0.7500 0.4811
0.7596 0.2500 0.5189
```

Computed properties:
V   293.2 Å³/cell
E_form   -0.74 eV/f.u.
Density of states at the Fermi level   6.60 states/eV/cell
E   -2.319 eV/atom

***

The following is a PBE calculation of Sr2CaAg after structural relaxation, from the Alexandria database.

Structure (POSCAR):
```
Sr2CaAg
1.0
-4.9498 4.9498 3.4650
4.9498 -4.9498 3.4650
4.9498 4.9498 -3.4650
Sr Ca Ag
4 2 2
Direct
0.0444 0.6250 0.9194
0.3750 0.2944 0.4194
0.7056 0.1250 0.0806
0.8750 0.9556 0.5806
0.2500 0.7500 0.5000
0.5000 0.5000 0.0000
0.0000 0.0000 0.0000
0.7500 0.2500 0.5000
```

Computed properties:
V   339.6 Å³/cell
E_form   0.13 eV/f.u.
Density of states at the Fermi level   13.55 states/eV/cell
E   -2.022 eV/atom

***

The following is a PBE calculation of SrCaAg3 after structural relaxation, from the Alexandria database.

Structure (POSCAR):
```
SrCaAg3
1.0
2.0279 -14.3894 0.0000
2.0279 14.3894 0.0000
0.0000 0.0000 4.6758
Sr Ca Ag
2 2 6
Direct
0.0739 0.9261 0.7500
0.9261 0.0739 0.2500
0.2072 0.7928 0.2500
0.7928 0.2072 0.7500
0.3200 0.6800 0.2500
0.3768 0.6232 0.7500
0.4741 0.5259 0.7500
0.5259 0.4741 0.2500
0.6232 0.3768 0.2500
0.6800 0.3200 0.7500
```

Computed properties:
V   272.9 Å³/cell
E_form   -1.47 eV/f.u.
Density of states at the Fermi level   4.70 states/eV/cell
E   -2.742 eV/atom

***

Copy entry 6 word for word.
The following is a PBE calculation of SrCaAg3 after structural relaxation, from the Alexandria database.

Structure (POSCAR):
```
SrCaAg3
1.0
2.0279 -14.3894 0.0000
2.0279 14.3894 0.0000
0.0000 0.0000 4.6758
Sr Ca Ag
2 2 6
Direct
0.0739 0.9261 0.7500
0.9261 0.0739 0.2500
0.2072 0.7928 0.2500
0.7928 0.2072 0.7500
0.3200 0.6800 0.2500
0.3768 0.6232 0.7500
0.4741 0.5259 0.7500
0.5259 0.4741 0.2500
0.6232 0.3768 0.2500
0.6800 0.3200 0.7500
```

Computed properties:
V   272.9 Å³/cell
E_form   -1.47 eV/f.u.
Density of states at the Fermi level   4.70 states/eV/cell
E   -2.742 eV/atom